Record 1
PBEsol AlB2F2, relaxed; spin magnetization = 0.00 μB/f.u.; DFT total energy = -4.2594 eV per atom; symmetry = I4/mmm; formation energy from raw total energies = 66 kJ/mol of formula units
1.0
-1.655 1.655 4.308
1.655 -1.655 4.308
1.655 1.655 -4.308
Al B F
1 2 2
Cartesian
0.000 0.000 0.000
0.000 0.000 3.553
0.000 0.000 5.064
1.655 0.000 2.154
0.000 1.655 2.154

Record 2
PBEsol NaAl6Fe3Si6B3O30F, relaxed; spin magnetization = 3.00 μB/f.u.; DFT total energy = -7.9136 eV per atom; symmetry = R3m; formation energy from raw total energies = -12341 kJ/mol of formula units
1.0
7.875 4.547 2.387
-7.875 4.547 2.387
0.000 -9.094 2.387
Na Al Fe Si B O F
1 6 3 6 3 30 1
Cartesian
0.000 0.000 0.000
-2.646 -3.495 4.584
-4.350 -0.544 4.584
2.646 -3.495 4.584
-1.704 4.039 4.584
4.350 -0.544 4.584
1.704 4.039 4.584
-1.538 -0.888 4.366
1.538 -0.888 4.366
0.000 1.775 4.366
-1.521 -2.601 1.724
-3.013 -0.017 1.724
1.521 -2.601 1.724
-1.492 2.618 1.724
3.013 -0.017 1.724
1.492 2.618 1.724
-5.281 -3.049 3.240
5.281 -3.049 3.240
0.000 6.098 3.240
0.000 -2.647 1.145
-2.293 1.324 1.145
-4.107 -3.731 3.385
-5.285 -1.691 3.385
-2.230 -5.146 3.586
-5.572 0.642 3.586
0.000 -6.678 3.478
-5.783 3.339 3.478
-1.559 -2.524 3.350
-2.965 -0.089 3.350
2.293 1.324 1.144
2.230 -5.146 3.586
-3.342 4.504 3.586
-3.013 -1.739 5.138
1.559 -2.524 3.350
-1.406 2.612 3.350
4.107 -3.731 3.385
-1.178 5.423 3.385
2.965 -0.089 3.350
1.406 2.612 3.350
0.000 -1.632 5.311
-1.413 0.816 5.311
5.285 -1.691 3.385
1.178 5.423 3.385
3.013 -1.739 5.138
0.000 3.479 5.138
1.413 0.816 5.311
5.572 0.642 3.586
3.342 4.504 3.586
5.783 3.339 3.478
0.000 0.000 3.335

Record 3
PBEsol AlFe3B, relaxed; spin magnetization = 4.08 μB/f.u.; energy relative to the elements = -0.16 eV/atom; distance to the lowest polymorph of the same formula = 0 meV/atom; DFT total energy = -7.7640 eV per atom; symmetry = Pm-3m
1.0
3.767 0.000 0.000
0.000 3.767 0.000
0.000 0.000 3.767
Al Fe B
1 3 1
Cartesian
0.000 0.000 0.000
0.000 1.883 1.883
1.883 0.000 1.883
1.883 1.883 0.000
1.883 1.883 1.883